The following is a DFT calculation (PBE-GGA) of a geometry-optimized Mg6GaCu structure. Values from VASP.

Geometry as Quantum ESPRESSO input:
```
&SYSTEM
  ibrav = 0, nat = 8, ntyp = 3
/
ATOMIC_SPECIES
Mg 24.30 Mg.upf
Cu 63.55 Cu.upf
Ga 69.72 Ga.upf
CELL_PARAMETERS angstrom
-0.552 0.014 5.980
-3.961 -3.481 -2.873
3.085 -3.752 0.293
ATOMIC_POSITIONS angstrom
Mg -0.772 -0.511 1.584
Mg -2.813 -2.305 0.108
Mg -1.111 -0.559 4.529
Mg -3.100 -2.300 3.187
Mg -2.155 -4.798 1.661
Mg 0.099 -3.066 0.109
Cu -1.859 -4.784 -1.274
Ga -0.172 -3.054 3.108
```

Results
Distance to the lowest polymorph of the same formula: 33 meV per atom

---

The following is a DFT calculation (PBE-GGA) of a geometry-optimized Mg2Ga2Cu3 structure. Values from VASP.

Geometry as Quantum ESPRESSO input:
```
&SYSTEM
  ibrav = 0, nat = 7, ntyp = 3
/
ATOMIC_SPECIES
Cu 63.55 Cu.upf
Ga 69.72 Ga.upf
Mg 24.30 Mg.upf
CELL_PARAMETERS angstrom
-2.411 -2.637 -2.321
0.010 -0.211 4.223
-3.800 6.686 0.261
ATOMIC_POSITIONS angstrom
Cu -4.224 3.775 0.134
Cu 0.000 0.000 0.000
Cu -1.977 0.062 2.029
Ga -2.406 -1.091 -0.145
Mg -2.067 1.863 0.019
Ga -3.795 4.928 2.308
Mg -4.134 1.975 2.144
```

Results
Distance to the lowest polymorph of the same formula: 27 meV per atom

---

The following is a DFT calculation (PBE-GGA) of a geometry-optimized Mg3Ga3Cu structure. Values from VASP.

Geometry as Quantum ESPRESSO input:
```
&SYSTEM
  ibrav = 0, nat = 14, ntyp = 3
/
ATOMIC_SPECIES
Ga 69.72 Ga.upf
Mg 24.30 Mg.upf
Cu 63.55 Cu.upf
CELL_PARAMETERS angstrom
-2.851 -2.637 -1.211
2.041 -4.131 -2.643
0.354 -8.314 10.434
ATOMIC_POSITIONS angstrom
Ga -0.727 -9.825 2.605
Mg -0.566 -7.942 4.961
Ga -1.079 -7.834 -0.900
Mg 0.111 -7.139 1.618
Mg -0.281 -11.444 5.080
Mg -0.253 -5.180 -1.791
Ga 0.271 -5.257 3.974
Cu -1.888 -5.539 2.841
Mg -0.203 -9.901 8.370
Ga 1.724 -11.465 7.239
Ga -2.180 -3.616 -0.659
Mg -0.175 -3.638 1.499
Ga 0.623 -7.247 7.479
Cu 1.432 -9.542 3.738
```

---

The following is a DFT calculation (PBE-GGA) of a geometry-optimized Mg2Ga2Cu3 structure. Values from VASP.

Geometry as Quantum ESPRESSO input:
```
&SYSTEM
  ibrav = 0, nat = 7, ntyp = 3
/
ATOMIC_SPECIES
Ga 69.72 Ga.upf
Mg 24.30 Mg.upf
Cu 63.55 Cu.upf
CELL_PARAMETERS angstrom
4.097 0.000 0.000
-2.049 4.697 0.062
0.000 -2.404 5.752
ATOMIC_POSITIONS angstrom
Ga 0.000 0.803 1.256
Mg 0.000 -0.448 4.313
Ga 2.049 1.490 4.558
Cu 2.049 0.032 2.506
Cu 0.000 2.260 3.308
Mg 2.049 2.740 1.502
Cu 2.049 0.000 0.000
```

Results
Distance to the lowest polymorph of the same formula: 0 meV per atom

---

The following is a DFT calculation (PBE-GGA) of a geometry-optimized Mg4GaCu structure. Values from VASP.

Geometry as Quantum ESPRESSO input:
```
&SYSTEM
  ibrav = 0, nat = 6, ntyp = 3
/
ATOMIC_SPECIES
Mg 24.30 Mg.upf
Ga 69.72 Ga.upf
Cu 63.55 Cu.upf
CELL_PARAMETERS angstrom
-4.301 -0.150 -3.274
4.986 1.323 -1.620
0.558 -5.172 1.474
ATOMIC_POSITIONS angstrom
Mg -1.985 -0.919 -1.816
Ga 0.343 0.587 -2.447
Mg 1.476 -1.864 -1.558
Mg 4.411 -1.398 -1.035
Mg -1.415 -3.817 -2.431
Cu 0.000 0.000 0.000
```

Results
Distance to the lowest polymorph of the same formula: 0 meV per atom

---

The following is a DFT calculation (PBE-GGA) of a geometry-optimized MgGaCu structure. Values from VASP.

Geometry as Quantum ESPRESSO input:
```
&SYSTEM
  ibrav = 0, nat = 12, ntyp = 3
/
ATOMIC_SPECIES
Mg 24.30 Mg.upf
Cu 63.55 Cu.upf
Ga 69.72 Ga.upf
CELL_PARAMETERS angstrom
-3.752 3.557 -0.009
-1.119 -4.874 1.314
1.651 1.762 7.942
ATOMIC_POSITIONS angstrom
Mg -1.751 1.964 5.853
Mg -2.355 1.320 2.949
Cu -2.509 4.867 5.955
Mg -1.682 -1.668 2.449
Cu -0.170 -0.211 4.420
Cu -2.576 -0.861 5.065
Ga -0.720 -2.626 5.071
Mg -0.689 -0.608 7.225
Cu -3.337 3.984 1.973
Ga -3.313 2.150 0.212
Ga -3.876 -0.250 0.861
Ga -1.455 0.404 0.213
```

---

The following is a DFT calculation (PBE-GGA) of a geometry-optimized Mg3Ga3Cu2 structure. Values from VASP.

Geometry as Quantum ESPRESSO input:
```
&SYSTEM
  ibrav = 0, nat = 16, ntyp = 3
/
ATOMIC_SPECIES
Cu 63.55 Cu.upf
Ga 69.72 Ga.upf
Mg 24.30 Mg.upf
CELL_PARAMETERS angstrom
-1.850 1.216 3.545
1.441 -5.087 0.034
12.293 3.518 5.208
ATOMIC_POSITIONS angstrom
Cu 1.546 -1.523 1.330
Ga -0.330 -0.377 2.421
Mg 10.984 2.451 4.891
Ga 12.215 0.024 6.366
Ga 3.447 -2.366 2.611
Cu 10.338 1.171 7.457
Cu 5.039 -0.523 2.810
Mg 4.275 -1.837 5.325
Mg 2.303 0.146 3.615
Mg 7.610 1.485 3.462
Ga 7.000 -1.468 4.157
Mg 9.581 -0.499 5.171
Ga 4.885 1.116 4.630
Mg 0.900 -2.803 3.896
Ga 8.437 2.014 6.176
Cu 6.845 0.171 5.977
```

Results
Distance to the lowest polymorph of the same formula: 0 meV per atom

---

The following is a DFT calculation (PBE-GGA) of a geometry-optimized Mg2GaCu structure. Values from VASP.

Geometry as Quantum ESPRESSO input:
```
&SYSTEM
  ibrav = 0, nat = 4, ntyp = 3
/
ATOMIC_SPECIES
Mg 24.30 Mg.upf
Cu 63.55 Cu.upf
Ga 69.72 Ga.upf
CELL_PARAMETERS angstrom
-0.413 -1.503 -2.523
1.678 -2.369 -0.606
-6.202 -7.154 3.534
ATOMIC_POSITIONS angstrom
Mg -4.473 -5.623 2.339
Cu 0.000 0.000 0.000
Mg -0.463 -5.402 -1.934
Ga -2.468 -5.513 0.203
```

---

The following is a DFT calculation (PBE-GGA) of a geometry-optimized MgGa4Cu2 structure. Values from VASP.

Geometry as Quantum ESPRESSO input:
```
&SYSTEM
  ibrav = 0, nat = 7, ntyp = 3
/
ATOMIC_SPECIES
Cu 63.55 Cu.upf
Mg 24.30 Mg.upf
Ga 69.72 Ga.upf
CELL_PARAMETERS angstrom
4.501 -0.198 2.151
1.688 4.703 1.657
-0.233 -0.018 5.258
ATOMIC_POSITIONS angstrom
Cu 4.002 2.398 5.281
Mg 4.501 -0.198 2.151
Ga 4.186 2.702 2.625
Cu 1.954 2.089 3.785
Ga 2.893 4.539 4.338
Ga 1.771 1.785 6.441
Ga 3.064 -0.052 4.727
```

---

The following is a DFT calculation (PBE-GGA) of a geometry-optimized MgNbGaCu2 structure. Values from VASP.

Geometry as Quantum ESPRESSO input:
```
&SYSTEM
  ibrav = 0, nat = 5, ntyp = 4
/
ATOMIC_SPECIES
Ga 69.72 Ga.upf
Mg 24.30 Mg.upf
Nb 92.91 Nb.upf
Cu 63.55 Cu.upf
CELL_PARAMETERS angstrom
4.404 0.000 0.000
0.000 4.707 0.000
0.000 0.000 4.404
ATOMIC_POSITIONS angstrom
Ga 0.000 0.000 0.000
Mg 0.000 2.353 0.000
Nb 2.202 2.353 2.202
Cu 2.202 0.000 0.000
Cu 0.000 0.000 2.202
```

---

The following is a DFT calculation (PBE-GGA) of a geometry-optimized Nd2MgGa4Cu3 structure. Values from VASP.

Geometry as Quantum ESPRESSO input:
```
&SYSTEM
  ibrav = 0, nat = 10, ntyp = 4
/
ATOMIC_SPECIES
Ga 69.72 Ga.upf
Nd 144.24 Nd.upf
Cu 63.55 Cu.upf
Mg 24.30 Mg.upf
CELL_PARAMETERS angstrom
4.196 0.000 0.000
0.000 4.196 0.000
0.000 0.000 10.822
ATOMIC_POSITIONS angstrom
Ga 2.098 2.098 0.000
Nd 2.098 0.000 2.565
Nd 0.000 2.098 8.256
Cu 2.098 0.000 9.468
Cu 0.000 2.098 1.353
Mg 2.098 2.098 5.411
Cu 0.000 0.000 5.411
Ga 0.000 0.000 0.000
Ga 0.000 2.098 3.770
Ga 2.098 0.000 7.052
```

---

Calculated magnetization in order - 0.0, 0.0, 0.0, 0.0, 0.0, 0.0, 0.0, 0.0, 0.0, 1.3, 0.0 μB/f.u.
Calculated total DFT energy (no corrections) in order - -2.102, -3.190, -2.723, -3.217, -2.362, -3.087, -2.924, -2.374, -3.172, -3.787, -3.980 eV per atom
Calculated ΔH_f (0 K) in order - -0.015, -0.114, -0.157, -0.141, -0.112, -0.181, -0.167, 0.204, -0.044, 0.790, -0.428 eV per atom